No. 1
Here is an optimized crystal structure of TeH3Se from the Alexandria database. Energies are from GGA-PBE.

Values from the calculation:
Total energy, eV/atom: -2.61
Symmetry: No. 221

```
5
Lattice="3.9808 0.0000 0.0000 0.0000 3.9808 0.0000 0.0000 0.0000 3.9808" Properties=species:S:1:pos:R:3 pbc="T T T"
Se 1.9904 1.9904 1.9904
H 1.9904 0.0000 0.0000
H 0.0000 1.9904 0.0000
H 0.0000 0.0000 1.9904
Te 0.0000 0.0000 0.0000
```

***

No. 2
Here is an optimized crystal structure of TiGaSb2I from the Alexandria database. Energies are from GGA-PBE.

Values from the calculation:
Uncorrected formation energy, eV per atom: 0.80
Symmetry: No. 123

```
5
Lattice="5.2453 0.0000 0.0000 0.0000 5.2453 0.0000 0.0000 0.0000 5.5575" Properties=species:S:1:pos:R:3 pbc="T T T"
Sb 0.0000 2.6227 0.0000
Sb 2.6227 0.0000 0.0000
I 0.0000 0.0000 2.7788
Ga 0.0000 0.0000 0.0000
Ti 2.6227 2.6227 2.7788
```

***

No. 3
Here is an optimized crystal structure of ZrTl2Br from the Alexandria database. Energies are from GGA-PBE.

Values from the calculation:
Uncorrected formation energy, eV per atom: 0.12
Symmetry: No. 122

```
8
Lattice="9.9892 0.0000 0.0000 0.0000 9.9892 0.0000 4.9946 4.9946 2.6543" Properties=species:S:1:pos:R:3 pbc="T T T"
Tl 7.4919 6.5146 1.9907
Tl 8.4692 2.4973 0.6636
Tl 12.4865 13.4638 1.9907
Tl 1.5200 7.4919 0.6636
Zr 9.9892 4.9946 1.3272
Zr 0.0000 0.0000 0.0000
Br 4.9946 4.9946 0.0000
Br 4.9946 9.9892 1.3272
```

***

No. 4
Here is an optimized crystal structure of TmAlCu2 from the Alexandria database. Energies are from GGA-PBE.

Values from the calculation:
Formation energy, eV/atom: -0.19
Symmetry: No. 123

```
4
Lattice="-0.4805 3.1381 -0.5464 -1.2669 0.3187 2.9446 5.8252 1.3037 2.3652" Properties=species:S:1:pos:R:3 pbc="T T T"
Tm 2.0389 2.3803 2.3817
Cu 4.6024 1.0301 1.8687
Cu 1.2228 0.2737 0.4965
Al -0.8737 1.7284 1.1991
```

***

No. 5
Here is an optimized crystal structure of YScZn2Br from the Alexandria database. Energies are from GGA-PBE.

Values from the calculation:
Uncorrected formation energy, eV per atom: 0.38
Symmetry: No. 123

```
5
Lattice="5.5147 0.0000 0.0000 0.0000 5.3061 0.0000 0.0000 0.0000 5.5147" Properties=species:S:1:pos:R:3 pbc="T T T"
Zn 2.7574 0.0000 0.0000
Zn 0.0000 0.0000 2.7574
Br 0.0000 2.6530 0.0000
Sc 2.7574 2.6530 2.7574
Y 0.0000 0.0000 0.0000
```

***

No. 6
Here is an optimized crystal structure of SrBi2Pt from the Alexandria database. Energies are from GGA-PBE.

Values from the calculation:
Formation energy, eV/atom: -0.16
Symmetry: No. 166

```
4
Lattice="-2.9422 1.6110 -2.5842 -3.9117 0.7370 1.4440 0.3447 9.7057 2.1888" Properties=species:S:1:pos:R:3 pbc="T T T"
Bi -0.6031 6.4890 1.2628
Bi -5.9061 5.5646 -0.2141
Pt -3.2546 6.0268 0.5243
Sr 0.0000 0.0000 0.0000
```

***

Repeat the second record exactly.
Here is an optimized crystal structure of TiGaSb2I from the Alexandria database. Energies are from GGA-PBE.

Values from the calculation:
Uncorrected formation energy, eV per atom: 0.80
Symmetry: No. 123

```
5
Lattice="5.2453 0.0000 0.0000 0.0000 5.2453 0.0000 0.0000 0.0000 5.5575" Properties=species:S:1:pos:R:3 pbc="T T T"
Sb 0.0000 2.6227 0.0000
Sb 2.6227 0.0000 0.0000
I 0.0000 0.0000 2.7788
Ga 0.0000 0.0000 0.0000
Ti 2.6227 2.6227 2.7788
```